(1)
{
  "formula": "PmNd5Ho2Tm",
  "functional": "PBE",
  "state": "relaxed",
  "formation_enthalpy_0k_mev_per_atom": 143,
  "magnetic_moment_mub_per_fu": 0.00,
  "sg": "No. 36",
  "volume_a3_per_atom": 34.5,
  "lattice_angstrom": [[5.650, 0.000, 0.000], [-2.825, 10.220, 0.000], [0.000, 0.000, 10.762]],
  "species": ["Pm", "Pm", "Nd", "Nd", "Nd", "Nd", "Nd", "Nd", "Nd", "Nd", "Nd", "Nd", "Ho", "Ho", "Ho", "Ho", "Tm", "Tm"],
  "fractional_positions": [[0.800, 0.599, 0.510], [0.200, 0.401, 0.010], [0.389, 0.777, 0.023], [0.719, 0.439, 0.810], [0.482, 0.963, 0.743], [0.297, 0.594, 0.704], [0.984, 0.969, 0.520], [0.611, 0.223, 0.523], [0.281, 0.561, 0.310], [0.518, 0.037, 0.243], [0.703, 0.406, 0.204], [0.016, 0.031, 0.020], [0.885, 0.770, 0.812], [0.111, 0.221, 0.739], [0.115, 0.230, 0.312], [0.889, 0.779, 0.239], [0.591, 0.182, 0.962], [0.409, 0.818, 0.462]]
}

***

(2)
{
  "formula": "Pm2Nd6HoTm",
  "functional": "PBE",
  "state": "relaxed",
  "formation_enthalpy_0k_mev_per_atom": 114,
  "magnetic_moment_mub_per_fu": 0.00,
  "sg": "No. 15",
  "volume_a3_per_atom": 34.4,
  "lattice_angstrom": [[9.323, -2.043, -2.120], [0.753, 8.709, -2.062], [0.753, -2.383, 8.626]],
  "species": ["Pm", "Pm", "Pm", "Pm", "Nd", "Nd", "Nd", "Nd", "Nd", "Nd", "Nd", "Nd", "Nd", "Nd", "Nd", "Nd", "Ho", "Ho", "Tm", "Tm"],
  "fractional_positions": [[0.457, 0.802, 0.702], [0.043, 0.298, 0.198], [0.543, 0.198, 0.298], [0.957, 0.702, 0.802], [0.054, 0.122, 0.757], [0.446, 0.243, 0.878], [0.946, 0.878, 0.243], [0.554, 0.757, 0.122], [0.310, 0.987, 0.429], [0.190, 0.571, 0.013], [0.690, 0.013, 0.571], [0.810, 0.429, 0.987], [0.118, 0.709, 0.497], [0.382, 0.503, 0.291], [0.882, 0.291, 0.503], [0.618, 0.497, 0.709], [0.250, 0.978, 0.022], [0.750, 0.022, 0.978], [0.250, 0.410, 0.590], [0.750, 0.590, 0.410]]
}

***

(3)
{
  "formula": "PmNd2HoTm5",
  "functional": "PBE",
  "state": "relaxed",
  "formation_enthalpy_0k_mev_per_atom": 266,
  "magnetic_moment_mub_per_fu": 0.00,
  "sg": "No. 140",
  "volume_a3_per_atom": 32.0,
  "lattice_angstrom": [[-1.959, -3.957, -7.454], [6.009, -6.027, 1.620], [-7.281, 0.731, 6.561]],
  "species": ["Pm", "Pm", "Nd", "Nd", "Nd", "Nd", "Ho", "Ho", "Tm", "Tm", "Tm", "Tm", "Tm", "Tm", "Tm", "Tm", "Tm", "Tm"],
  "fractional_positions": [[0.250, 0.250, 0.500], [0.750, 0.750, 0.500], [0.117, 0.383, 0.000], [0.617, 0.117, 0.000], [0.383, 0.883, 0.000], [0.883, 0.617, 0.000], [0.250, 0.750, 0.500], [0.750, 0.250, 0.500], [0.927, 0.427, 0.277], [0.650, 0.150, 0.723], [0.073, 0.573, 0.723], [0.150, 0.073, 0.723], [0.573, 0.650, 0.723], [0.850, 0.927, 0.277], [0.427, 0.350, 0.277], [0.350, 0.850, 0.277], [0.500, 0.500, 0.000], [0.000, 0.000, 0.000]]
}